[1]
The following is a DFT calculation (GGA-PBEsol) of crystalline AlPtC2Br at its relaxed geometry.

Output
- Uncorrected formation energy: 1.899 eV/atom

a b c (Å): 3.875 3.875 4.995
angles (deg): 90.00 90.00 90.00
Space group P4/mmm (No. 123)
Symmetry-distinct sites (fractional):
Al: 0.000 0.000 0.000 [1 per cell]
Pt: 0.500 0.500 0.500 [1 per cell]
C: 0.000 0.500 0.000 [2 per cell]
Br: 0.000 0.000 0.500 [1 per cell]

[2]
The following is a DFT calculation (GGA-PBEsol) of crystalline BaInSb2 at its relaxed geometry.

Output
- Uncorrected formation energy: -0.421 eV/atom

a b c (Å): 4.031 5.639 10.900
angles (deg): 90.00 90.00 90.00
Space group Imm2 (No. 44)
Symmetry-distinct sites (fractional):
Ba: 0.000 0.000 0.000 [2 per cell]
In: 0.000 0.500 0.225 [2 per cell]
Sb: 0.000 0.000 0.489 [2 per cell]
Sb: 0.000 0.500 0.783 [2 per cell]

[3]
The following is a DFT calculation (GGA-PBEsol) of crystalline BiBI3 at its relaxed geometry.

Output
- Uncorrected formation energy: 0.569 eV/atom

a b c (Å): 5.084 5.084 5.084
angles (deg): 90.00 90.00 90.00
Space group Pm-3m (No. 221)
Symmetry-distinct sites (fractional):
Bi: 0.000 0.000 0.000 [1 per cell]
B: 0.500 0.500 0.500 [1 per cell]
I: 0.000 0.500 0.500 [3 per cell]

[4]
The following is a DFT calculation (GGA-PBEsol) of crystalline CsMg2Tl at its relaxed geometry.

a b c (Å): 7.855 7.855 7.855
angles (deg): 90.00 90.00 90.00
Space group Fm-3m (No. 225)
Symmetry-distinct sites (fractional):
Cs: 0.000 0.000 0.000 [4 per cell]
Mg: 0.250 0.250 0.250 [8 per cell]
Tl: 0.000 0.000 0.500 [4 per cell]

[5]
The following is a DFT calculation (GGA-PBEsol) of crystalline SrNiAs3 at its relaxed geometry.

a b c (Å): 4.716 4.716 4.716
angles (deg): 90.00 90.00 90.00
Space group Pm-3m (No. 221)
Symmetry-distinct sites (fractional):
Sr: 0.000 0.000 0.000 [1 per cell]
Ni: 0.500 0.500 0.500 [1 per cell]
As: 0.000 0.500 0.500 [3 per cell]

[6]
The following is a DFT calculation (GGA-PBEsol) of crystalline YBe2Cr2 at its relaxed geometry.

a b c (Å): 4.078 4.078 8.370
angles (deg): 90.00 90.00 90.00
Space group I4/mmm (No. 139)
Symmetry-distinct sites (fractional):
Y: 0.000 0.000 0.000 [2 per cell]
Be: 0.000 0.500 0.250 [4 per cell]
Cr: 0.000 0.000 0.384 [4 per cell]

[7]
The following is a DFT calculation (GGA-PBEsol) of crystalline AgSeOF2 at its relaxed geometry.

Output
- Uncorrected formation energy: -0.602 eV/atom

a b c (Å): 4.404 4.404 3.751
angles (deg): 90.00 90.00 90.00
Space group P4/mmm (No. 123)
Symmetry-distinct sites (fractional):
Ag: 0.000 0.000 0.000 [1 per cell]
Se: 0.500 0.500 0.500 [1 per cell]
O: 0.500 0.500 0.000 [1 per cell]
F: 0.000 0.500 0.500 [2 per cell]

[8]
The following is a DFT calculation (GGA-PBEsol) of crystalline SmDy3 at its relaxed geometry.

Output
- E above lowest polymorph: 0.0 kJ/mol of atoms

a b c (Å): 4.928 4.928 9.860
angles (deg): 90.00 90.00 90.00
Space group I4/mmm (No. 139)
Symmetry-distinct sites (fractional):
Sm: 0.000 0.000 0.000 [2 per cell]
Dy: 0.000 0.000 0.500 [2 per cell]
Dy: 0.000 0.500 0.250 [4 per cell]

[9]
The following is a DFT calculation (GGA-PBEsol) of crystalline ScMoSe2 at its relaxed geometry.

Output
- E above lowest polymorph: 47.1 kJ/mol of atoms
- Uncorrected formation energy: -0.231 eV/atom

a b c (Å): 3.3593 3.3593 25.0763
angles (deg): 90.00 90.00 120.00
Space group R-3m (No. 166, hexagonal axes)
Symmetry-distinct sites (fractional):
Sc: 0.0000 0.0000 0.0000 [3 per cell]
Mo: 0.0000 0.0000 0.5000 [3 per cell]
Se: 0.0000 0.0000 0.4033 [6 per cell]

[10]
The following is a DFT calculation (GGA-PBEsol) of crystalline KMgAl2Ge at its relaxed geometry.

a b c (Å): 5.280 5.280 5.065
angles (deg): 90.00 90.00 90.00
Space group P4/mmm (No. 123)
Symmetry-distinct sites (fractional):
K: 0.000 0.000 0.000 [1 per cell]
Mg: 0.500 0.500 0.500 [1 per cell]
Al: 0.000 0.500 0.500 [2 per cell]
Ge: 0.500 0.500 0.000 [1 per cell]

[11]
The following is a DFT calculation (GGA-PBEsol) of crystalline BaFe2ReGe at its relaxed geometry.

a b c (Å): 4.778 4.778 4.782
angles (deg): 90.00 90.00 90.00
Space group P4/mmm (No. 123)
Symmetry-distinct sites (fractional):
Ba: 0.000 0.000 0.000 [1 per cell]
Fe: 0.000 0.500 0.500 [2 per cell]
Re: 0.500 0.500 0.500 [1 per cell]
Ge: 0.500 0.500 0.000 [1 per cell]

[12]
The following is a DFT calculation (GGA-PBEsol) of crystalline HgOsRh at its relaxed geometry.

Output
- E above lowest polymorph: 0.0 kJ/mol of atoms

a b c (Å): 5.999 5.999 5.999
angles (deg): 90.00 90.00 90.00
Space group F-43m (No. 216)
Symmetry-distinct sites (fractional):
Hg: 0.000 0.000 0.000 [4 per cell]
Os: 0.000 0.000 0.500 [4 per cell]
Rh: 0.250 0.250 0.750 [4 per cell]

| no. | E (eV/atom) | total magnetization (μB per formula unit) |
| --- | --- | --- |
| 1 | -4.543 | 0.000 |
| 2 | -3.983 | 0.000 |
| 3 | -2.752 | 0.001 |
| 4 | -1.566 | 0.000 |
| 5 | -4.901 | 0.001 |
| 6 | -6.664 | 0.000 |
| 7 | -3.855 | 0.000 |
| 8 | -4.995 | 0.000 |
| 9 | -6.749 | 0.003 |
| 10 | -2.628 | 0.000 |
| 11 | -6.988 | 5.460 |
| 12 | -6.045 | 0.000 |